w) Compound: K2Pt2Pb
Source: Alexandria
Functional: GGA-PBE
Structure: relaxed

```
K2Pt2Pb
1.0
5.124 -3.393 0.000
5.124 3.393 0.000
-1.527 0.000 8.191
K Pt Pb
4 4 2
Direct
0.019 0.265 0.136
0.265 0.019 0.636
0.735 0.981 0.364
0.981 0.735 0.864
0.206 0.507 0.493
0.493 0.794 0.007
0.507 0.206 0.993
0.794 0.493 0.507
0.430 0.570 0.250
0.570 0.430 0.750
```

## Properties
SG = C2/c

=====

x) Compound: K2Pt2Pb
Source: Alexandria
Functional: GGA-PBE
Structure: relaxed

```
K2Pt2Pb
1.0
4.289 0.000 0.000
0.000 4.289 0.000
0.000 0.000 14.649
K Pt Pb
4 4 2
Direct
0.000 0.500 0.250
0.000 0.500 0.750
0.500 0.000 0.250
0.500 0.000 0.750
0.000 0.000 0.089
0.000 0.000 0.911
0.500 0.500 0.411
0.500 0.500 0.589
0.000 0.000 0.500
0.500 0.500 0.000
```

## Properties
SG = I4/mmm

=====

y) Compound: K2Pt2Pb
Source: Alexandria
Functional: GGA-PBE
Structure: relaxed

```
K2Pt2Pb
1.0
7.129 0.000 0.000
0.000 7.129 0.000
0.000 0.000 5.423
K Pt Pb
4 4 2
Direct
0.172 0.328 0.000
0.328 0.828 0.000
0.672 0.172 0.000
0.828 0.672 0.000
0.129 0.629 0.500
0.371 0.129 0.500
0.629 0.871 0.500
0.871 0.371 0.500
0.000 0.000 0.500
0.500 0.500 0.500
```

## Properties
SG = P4/mbm

=====

Most stable: w)

=====

w) Compound: K3Pt2Pb3
Source: Alexandria
Functional: GGA-PBE
Structure: relaxed

```
K3Pt2Pb3
1.0
9.050 0.000 0.000
0.000 16.622 0.000
0.000 0.000 6.677
K Pt Pb
12 8 12
Direct
0.037 0.113 0.098
0.037 0.387 0.098
0.212 0.250 0.593
0.288 0.750 0.093
0.463 0.613 0.598
0.463 0.887 0.598
0.537 0.113 0.402
0.537 0.387 0.402
0.712 0.250 0.907
0.788 0.750 0.407
0.963 0.613 0.902
0.963 0.887 0.902
0.112 0.603 0.386
0.112 0.897 0.386
0.388 0.103 0.886
0.388 0.397 0.886
0.612 0.603 0.114
0.612 0.897 0.114
0.888 0.103 0.614
0.888 0.397 0.614
0.148 0.750 0.570
0.172 0.038 0.617
0.172 0.462 0.617
0.328 0.538 0.117
0.328 0.962 0.117
0.352 0.250 0.070
0.648 0.750 0.930
0.672 0.038 0.883
0.672 0.462 0.883
0.828 0.538 0.383
0.828 0.962 0.383
0.852 0.250 0.430
```

## Properties
SG = Pnma

=====

x) Compound: K3Pt2Pb3
Source: Alexandria
Functional: GGA-PBE
Structure: relaxed

```
K3Pt2Pb3
1.0
2.398 -6.287 0.000
2.398 6.287 0.000
0.000 0.000 17.012
K Pt Pb
6 4 6
Direct
0.056 0.944 0.608
0.056 0.944 0.892
0.379 0.621 0.750
0.621 0.379 0.250
0.944 0.056 0.108
0.944 0.056 0.392
0.232 0.768 0.105
0.232 0.768 0.395
0.768 0.232 0.605
0.768 0.232 0.895
0.326 0.674 0.250
0.341 0.659 0.540
0.341 0.659 0.960
0.659 0.341 0.040
0.659 0.341 0.460
0.674 0.326 0.750
```

## Properties
SG = Cmcm

=====

Most stable: x)

=====

w) Compound: KPtPb3
Source: Alexandria
Functional: GGA-PBE
Structure: relaxed

```
KPtPb3
1.0
9.170 0.000 0.000
0.000 7.465 0.000
-4.443 0.000 9.004
K Pt Pb
4 4 12
Direct
0.148 0.089 0.255
0.148 0.411 0.755
0.852 0.589 0.245
0.852 0.911 0.745
0.440 0.652 0.045
0.440 0.848 0.545
0.560 0.152 0.455
0.560 0.348 0.955
0.149 0.648 0.092
0.149 0.852 0.592
0.291 0.522 0.434
0.291 0.978 0.934
0.443 0.185 0.671
0.443 0.315 0.171
0.557 0.685 0.829
0.557 0.815 0.329
0.709 0.022 0.066
0.709 0.478 0.566
0.851 0.148 0.408
0.851 0.352 0.908
```

## Properties
SG = P2_1/c

=====

x) Compound: KPtPb3
Source: Alexandria
Functional: GGA-PBE
Structure: relaxed

```
KPtPb3
1.0
5.551 0.000 0.000
0.000 5.551 0.000
0.000 0.000 5.551
K Pt Pb
1 1 3
Direct
0.000 0.000 0.000
0.500 0.500 0.500
0.000 0.500 0.500
0.500 0.000 0.500
0.500 0.500 0.000
```

## Properties
SG = Pm-3m

=====

y) Compound: KPtPb3
Source: Alexandria
Functional: GGA-PBE
Structure: relaxed

```
KPtPb3
1.0
5.757 0.000 0.000
0.000 5.757 0.000
0.000 0.000 5.757
K Pt Pb
1 1 3
Direct
0.000 0.000 0.000
0.500 0.500 0.500
0.000 0.000 0.500
0.000 0.500 0.000
0.500 0.000 0.000
```

## Properties
SG = Pm-3m

=====

z) Compound: KPtPb3
Source: Alexandria
Functional: GGA-PBE
Structure: relaxed

```
KPtPb3
1.0
7.245 0.000 0.000
0.000 7.241 0.000
-3.616 0.000 5.891
K Pt Pb
2 2 6
Direct
0.000 0.000 0.000
0.500 0.500 0.000
0.361 0.000 0.718
0.861 0.500 0.718
0.009 0.249 0.516
0.009 0.751 0.516
0.087 0.500 0.176
0.509 0.251 0.516
0.509 0.749 0.516
0.587 0.000 0.176
```

## Properties
SG = Cm

=====

Most stable: z)

=====

w) Compound: KPt2Pb4
Source: Alexandria
Functional: GGA-PBE
Structure: relaxed

```
KPt2Pb4
1.0
5.297 0.000 0.000
0.000 13.969 0.000
0.000 0.000 5.244
K Pt Pb
2 4 8
Direct
0.000 0.000 0.000
0.500 0.500 0.000
0.000 0.405 0.500
0.000 0.595 0.500
0.500 0.095 0.500
0.500 0.905 0.500
0.000 0.174 0.500
0.000 0.328 0.000
0.000 0.672 0.000
0.000 0.826 0.500
0.500 0.172 0.000
0.500 0.326 0.500
0.500 0.674 0.500
0.500 0.828 0.000
```

## Properties
SG = Cmmm

=====

x) Compound: KPt2Pb4
Source: Alexandria
Functional: GGA-PBE
Structure: relaxed

```
KPt2Pb4
1.0
19.971 0.000 0.000
0.000 4.777 0.000
0.000 0.000 7.621
K Pt Pb
4 8 16
Direct
0.142 0.250 0.007
0.358 0.750 0.507
0.642 0.250 0.493
0.858 0.750 0.993
0.036 0.750 0.250
0.213 0.250 0.516
0.287 0.750 0.016
0.464 0.250 0.750
0.536 0.750 0.250
0.713 0.250 0.984
0.787 0.750 0.484
0.964 0.250 0.750
0.033 0.750 0.862
0.068 0.250 0.482
0.182 0.750 0.299
0.194 0.750 0.724
0.306 0.250 0.224
0.318 0.250 0.799
0.432 0.750 0.982
0.467 0.250 0.362
0.533 0.750 0.638
0.568 0.250 0.018
0.682 0.750 0.201
0.694 0.750 0.776
0.806 0.250 0.276
0.818 0.250 0.701
0.932 0.750 0.518
0.967 0.250 0.138
```

## Properties
SG = Pnma

=====

Most stable: x)